The following is a DFT calculation (PBEsol) of a relaxed structure of CdP2O6.

Cell: 7.6043 7.6043 10.5047 Å, 114.05 114.05 69.37°
Last column: nearest neighbours and their distance in Å.
Fractional positions:
Cd  0.0000  0.5000  0.5000  6 O 2.22-2.30
Cd  0.0370  0.9630  0.7500  6 O 2.20-2.37
Cd  0.5000  0.0000  0.0000  6 O 2.22-2.30
Cd  0.9630  0.0370  0.2500  6 O 2.20-2.37
P  0.2610  0.7242  0.0217  4 O 1.48-1.61
P  0.2758  0.7390  0.4783  4 O 1.48-1.61
P  0.3089  0.3117  0.8103  4 O 1.48-1.61
P  0.3117  0.3089  0.3103  4 O 1.48-1.61
P  0.6883  0.6911  0.6897  4 O 1.48-1.61
P  0.6911  0.6883  0.1897  4 O 1.48-1.61
P  0.7242  0.2610  0.5217  4 O 1.48-1.61
P  0.7390  0.2758  0.9783  4 O 1.48-1.61
O  0.0883  0.8191  0.0765  1 P 1.48
O  0.1358  0.2772  0.3254  1 P 1.52
O  0.1809  0.9117  0.4235  1 P 1.48
O  0.2001  0.7156  0.5825  1 P 1.52
O  0.2007  0.3553  0.6700  1 P 1.48
O  0.2649  0.4924  0.9489  2 P 1.60
O  0.2772  0.1358  0.8254  1 P 1.52
O  0.2774  0.5414  0.3397  2 P 1.61
O  0.2844  0.7999  0.9175  1 P 1.52
O  0.3553  0.2007  0.1700  1 P 1.48
O  0.4586  0.7226  0.1603  2 P 1.61
O  0.4924  0.2649  0.4489  2 P 1.60
O  0.5076  0.7351  0.5511  2 P 1.60
O  0.5414  0.2774  0.8397  2 P 1.61
O  0.6447  0.7993  0.8300  1 P 1.48
O  0.7156  0.2001  0.0825  1 P 1.52
O  0.7226  0.4586  0.6603  2 P 1.61
O  0.7228  0.8642  0.1746  1 P 1.52
O  0.7351  0.5076  0.0511  2 P 1.60
O  0.7993  0.6447  0.3300  1 P 1.48
O  0.7999  0.2844  0.4175  1 P 1.52
O  0.8191  0.0883  0.5765  1 P 1.48
O  0.8642  0.7228  0.6746  1 P 1.52
O  0.9117  0.1809  0.9235  1 P 1.48

Summary:
- mass density (Mg/m³) = 3.64
- calculated volume (Å³/cell) = 493.73
- total DFT energy (no corrections) (eV per cell) = -248.411
- uncorrected formation energy (kJ per mole of atoms) = -191